1.
Mg3TiSb: relaxed, GGA-PBE.

Cell: 5.2945 5.2945 5.2945 Å, 90.00 90.00 90.00°
With the nearest neighbours (Å) after each atom.
Space group Pm-3m (No. 221)
One atom of each set of equivalent atoms:
1 Mg 0.0000 0.0000 0.5000 [3 per cell]  2 Sb 2.65
2 Ti 0.5000 0.5000 0.5000 [1 per cell]  12 Mg 3.74
3 Sb 0.0000 0.0000 0.0000 [1 per cell]  6 Mg 2.65

volume	29.7	A^3/atom
mass density	2714	kg/m³
energy relative to the lowest polymorph listed for this composition	0.0000	eV/atom
formation energy without anion corrections	0.837	eV/atom
D(E_F)	6.04	states/eV/cell
uncorrected energy	-12.6	eV for the cell shown


2.
MgTi2Sb: relaxed, GGA-PBE.

Cell: 6.6884 6.6884 6.6884 Å, 90.00 90.00 90.00°
With the nearest neighbours (Å) after each atom.
Space group Fm-3m (No. 225)
One atom of each set of equivalent atoms:
1 Mg 0.0000 0.0000 0.0000 [4 per cell]  8 Ti 2.90
2 Ti 0.2500 0.2500 0.2500 [8 per cell]  4 Sb 2.90, 4 Mg 2.90
3 Sb 0.0000 0.0000 0.5000 [4 per cell]  8 Ti 2.90

volume	18.7	A^3/atom
mass density	5368	kg/m³
energy relative to the lowest polymorph listed for this composition	0.1929	eV/atom
formation energy without anion corrections	-0.006	eV/atom
D(E_F)	15.92	states/eV/cell
uncorrected energy	-86.1	eV for the cell shown


3.
MgTiSb2: relaxed, GGA-PBE.

Cell: 3.7239 3.7239 6.3297 Å, 90.00 90.00 90.00°
With the nearest neighbours (Å) after each atom.
Space group P4/mmm (No. 123)
One atom of each set of equivalent atoms:
1 Mg 0.0000 0.0000 0.0000 [1 per cell]  8 Sb 3.13, 2 Ti 3.16
2 Ti 0.0000 0.0000 0.5000 [1 per cell]  8 Sb 3.01, 2 Mg 3.16
3 Sb 0.5000 0.5000 0.2680 [2 per cell]  1 Sb 2.94, 4 Ti 3.01, 4 Mg 3.13

volume	21.9	A^3/atom
mass density	5972	kg/m³
formation energy without anion corrections	-0.243	eV/atom
D(E_F)	2.52	states/eV/cell
uncorrected energy	-18.7	eV for the cell shown


4.
Mg14TiSb: relaxed, GGA-PBE.

Cell: 10.3841 6.2015 11.0680 Å, 90.00 90.00 90.00°
With the nearest neighbours (Å) after each atom.
Space group Amm2 (No. 38)
One atom of each set of equivalent atoms:
1 Mg 0.0000 0.0000 0.0000 [2 per cell]  12 Mg 3.10-3.18
2 Mg 0.0000 0.0000 0.4996 [2 per cell]  12 Mg 3.10-3.21
3 Mg 0.0000 0.2491 0.2504 [4 per cell]  12 Mg 3.09-3.21
4 Mg 0.2473 0.0000 0.6661 [4 per cell]  11 Mg 3.10-3.20, 1 Sb 3.19
5 Mg 0.2526 0.2445 0.9146 [8 per cell]  10 Mg 3.03-3.23, 1 Ti 3.13, 1 Sb 3.17
6 Mg 0.2535 0.0000 0.1607 [4 per cell]  11 Mg 3.10-3.23, 1 Ti 3.12
7 Mg 0.5000 0.2488 0.2489 [4 per cell]  8 Mg 3.09-3.19, 2 Sb 3.15-3.20, 2 Ti 3.16-3.18
8 Ti 0.5000 0.0000 0.9993 [2 per cell]  2 Sb 3.10, 10 Mg 3.12-3.18
9 Sb 0.5000 0.0000 0.5017 [2 per cell]  2 Ti 3.10, 10 Mg 3.15-3.20

volume	22.3	A^3/atom
mass density	2376	kg/m³
energy relative to the lowest polymorph listed for this composition	0.0000	eV/atom
formation energy without anion corrections	-0.001	eV/atom
D(E_F)	16.67	states/eV/cell
uncorrected energy	-68.7	eV for the cell shown


5.
MgTi12Sb6: relaxed, GGA-PBE.

Cell: 12.3918 12.3918 9.0924 Å, 90.00 90.00 120.00°
With the nearest neighbours (Å) after each atom.
Space group R-3m (No. 166, hexagonal axes)
One atom of each set of equivalent atoms:
1 Mg 0.0000 0.0000 0.0000 [3 per cell]  6 Ti 3.41
2 Ti 0.0000 0.3878 0.5000 [18 per cell]  4 Sb 2.65-2.71, 1 Ti 2.78
3 Ti 0.0793 0.1586 0.3252 [18 per cell]  4 Sb 2.81-3.05, 4 Ti 2.95-3.09
4 Sb 0.0254 0.5127 0.2460 [18 per cell]  5 Ti 2.65-2.81

volume	21.2	A^3/atom
mass density	5477	kg/m³
formation energy without anion corrections	-0.107	eV/atom
D(E_F)	70.76	states/eV/cell
uncorrected energy	-369.3	eV for the cell shown


6.
MgTi5Sb4: relaxed, GGA-PBE.

Cell: 3.8948 9.0706 11.7997 Å, 90.00 90.00 90.00°
With the nearest neighbours (Å) after each atom.
Space group Immm (No. 71)
One atom of each set of equivalent atoms:
1 Mg 0.0000 0.0000 0.0000 [2 per cell]  4 Sb 2.70-3.02
2 Ti 0.0000 0.0000 0.5000 [2 per cell]  6 Sb 2.68-2.88
3 Ti 0.0000 0.2984 0.3420 [8 per cell]  5 Sb 2.83-2.91, 2 Ti 3.05
4 Sb 0.0000 0.0000 0.2558 [4 per cell]  7 Ti 2.88-2.91, 1 Mg 3.02
5 Sb 0.0000 0.2972 0.0000 [4 per cell]  6 Ti 2.68-2.83, 1 Mg 2.70

volume	20.8	A^3/atom
mass density	5981	kg/m³
formation energy without anion corrections	-0.315	eV/atom
D(E_F)	20.00	states/eV/cell
uncorrected energy	-121.4	eV for the cell shown


7.
Mg14TiSb: relaxed, GGA-PBE.

Cell: 6.3727 6.3727 10.1862 Å, 90.00 90.00 120.00°
With the nearest neighbours (Å) after each atom.
Space group P-6m2 (No. 187)
One atom of each set of equivalent atoms:
1 Mg 0.0000 0.0000 0.2466 [2 per cell]  12 Mg 3.13-3.19
2 Mg 0.0087 0.5043 0.2441 [6 per cell]  1 Ti 3.06, 10 Mg 3.10-3.27, 1 Sb 3.16
3 Mg 0.3320 0.1660 0.5000 [3 per cell]  10 Mg 3.17-3.21, 2 Sb 3.19
4 Mg 0.3372 0.1686 0.0000 [3 per cell]  10 Mg 3.10-3.22, 2 Ti 3.19
5 Ti 0.3333 0.6667 0.0000 [1 per cell]  12 Mg 3.06-3.19
6 Sb 0.3333 0.6667 0.5000 [1 per cell]  12 Mg 3.16-3.19

volume	22.4	A^3/atom
mass density	2363	kg/m³
energy relative to the lowest polymorph listed for this composition	0.0027	eV/atom
formation energy without anion corrections	0.002	eV/atom
D(E_F)	8.90	states/eV/cell
uncorrected energy	-34.3	eV for the cell shown


8.
Mg2TiSb: relaxed, GGA-PBE.

Cell: 8.2122 8.2122 5.5662 Å, 90.00 90.00 90.00°
With the nearest neighbours (Å) after each atom.
Space group I-42d (No. 122)
One atom of each set of equivalent atoms:
1 Mg 0.2301 0.7500 0.1250 [8 per cell]  2 Mg 2.80, 2 Sb 2.88, 2 Ti 3.10
2 Ti 0.0000 0.0000 0.5000 [4 per cell]  2 Sb 2.78, 4 Mg 3.10
3 Sb 0.0000 0.0000 0.0000 [4 per cell]  2 Ti 2.78, 4 Mg 2.88

volume	23.5	A^3/atom
mass density	3861	kg/m³
formation energy without anion corrections	0.198	eV/atom
D(E_F)	9.40	states/eV/cell
uncorrected energy	-57.7	eV for the cell shown